TbGd2Si4Ag4: optimized geometry, GGA-PBE.

Unit cell a=8.231 b=8.231 c=8.231 alpha=149.73 beta=129.66 gamma=59.88
Element x y z (fractional)
Gd 0.626 0.126 0.500
Gd 0.374 0.874 0.500
Ag 0.971 0.669 0.302
Ag 0.367 0.669 0.698
Ag 0.029 0.331 0.698
Ag 0.633 0.331 0.302
Si 0.216 0.216 0.000
Si 0.784 0.784 0.000
Si 0.676 0.500 0.176
Si 0.324 0.500 0.824
Tb 0.000 0.000 0.000

Summary:
total magnetic moment = 0.00 μB per cell
symmetry = Immm (71)
E_tot = -52.51 eV/f.u.